Here is a relaxed structure of Pa2BeNi6 from Alexandria. Energies are from PBE-GGA.

Cell: 5.157 5.157 5.464 Å, 90.08 90.08 60.02°
Element x y z (fractional)
1 Pa 0.167 0.167 0.307
2 Pa 0.833 0.833 0.693
3 Be 0.500 0.500 0.500
4 Ni 0.162 0.669 0.188
5 Ni 0.331 0.331 0.811
6 Ni 0.331 0.838 0.812
7 Ni 0.669 0.162 0.188
8 Ni 0.669 0.669 0.189
9 Ni 0.838 0.331 0.812

Values from the calculation:
Energy ... -6.78 eV per atom
Energy of formation from the pure elements ... -0.4030 eV/atom
N(E_F) ... 0.972 states/eV/atom

Here is a relaxed structure of PaBe2Ni from Alexandria. Energies are from PBE-GGA.

Cell: 5.206 5.206 5.206 Å, 41.51 41.51 41.51°
Element x y z (fractional)
1 Pa 0.000 0.000 0.000
2 Be 0.198 0.198 0.198
3 Be 0.802 0.802 0.802
4 Ni 0.500 0.500 0.500

Values from the calculation:
Energy ... -5.82 eV per atom
Energy of formation from the pure elements ... -0.1373 eV/atom
N(E_F) ... 1.087 states/eV/atom

Here is a relaxed structure of Pa2Be16Ni from Alexandria. Energies are from PBE-GGA.

Cell: 5.870 5.870 5.870 Å, 82.98 82.98 82.98°
Element x y z (fractional)
1 Pa 0.000 0.000 0.000
2 Pa 0.315 0.315 0.315
3 Be 0.155 0.656 0.656
4 Be 0.320 0.320 0.811
5 Be 0.320 0.811 0.320
6 Be 0.380 0.655 0.929
7 Be 0.380 0.929 0.655
8 Be 0.502 0.993 0.993
9 Be 0.655 0.380 0.929
10 Be 0.655 0.929 0.380
11 Be 0.656 0.155 0.656
12 Be 0.656 0.656 0.155
13 Be 0.754 0.754 0.754
14 Be 0.811 0.320 0.320
15 Be 0.929 0.380 0.655
16 Be 0.929 0.655 0.380
17 Be 0.993 0.502 0.993
18 Be 0.993 0.993 0.502
19 Ni 0.555 0.555 0.555

Values from the calculation:
Energy ... -4.58 eV per atom
Energy of formation from the pure elements ... -0.1360 eV/atom
N(E_F) ... 0.389 states/eV/atom

Here is a relaxed structure of PaBe4Ni from Alexandria. Energies are from PBE-GGA.

Cell: 4.722 4.722 4.722 Å, 60.00 60.00 60.00°
Element x y z (fractional)
1 Pa 0.000 0.000 0.000
2 Be 0.127 0.624 0.624
3 Be 0.624 0.127 0.624
4 Be 0.624 0.624 0.127
5 Be 0.624 0.624 0.624
6 Ni 0.250 0.250 0.250

Values from the calculation:
Energy ... -4.79 eV per atom
Energy of formation from the pure elements ... 0.2413 eV/atom
N(E_F) ... 1.015 states/eV/atom

Here is a relaxed structure of Pa2BeNi9 from Alexandria. Energies are from PBE-GGA.

Cell: 3.833 3.833 10.612 Å, 90.00 90.00 90.00°
Element x y z (fractional)
1 Pa 0.000 0.000 0.189
2 Pa 0.000 0.000 0.811
3 Be 0.000 0.000 0.500
4 Ni 0.000 0.500 0.000
5 Ni 0.000 0.500 0.360
6 Ni 0.000 0.500 0.640
7 Ni 0.500 0.000 0.000
8 Ni 0.500 0.000 0.360
9 Ni 0.500 0.000 0.640
10 Ni 0.500 0.500 0.176
11 Ni 0.500 0.500 0.500
12 Ni 0.500 0.500 0.824

Values from the calculation:
Energy ... -6.56 eV per atom
Energy of formation from the pure elements ... -0.3264 eV/atom
N(E_F) ... 0.176 states/eV/atom

Here is a relaxed structure of PaBe3Ni2 from Alexandria. Energies are from PBE-GGA.

Cell: 4.761 4.761 3.797 Å, 90.00 90.00 120.00°
Element x y z (fractional)
1 Pa 0.000 0.000 0.000
2 Be 0.000 0.500 0.500
3 Be 0.500 0.000 0.500
4 Be 0.500 0.500 0.500
5 Ni 0.333 0.667 0.000
6 Ni 0.667 0.333 0.000

Values from the calculation:
Energy ... -5.67 eV per atom
Energy of formation from the pure elements ... -0.3010 eV/atom
N(E_F) ... 1.121 states/eV/atom

Here is a relaxed structure of PaBe2Ni10 from Alexandria. Energies are from PBE-GGA.

Cell: 8.029 6.168 6.090 Å, 81.84 49.50 48.66°
Element x y z (fractional)
1 Pa 0.000 0.000 0.000
2 Be 0.000 0.500 0.000
3 Be 0.500 0.000 0.500
4 Ni 0.000 0.000 0.500
5 Ni 0.008 0.347 0.653
6 Ni 0.275 0.490 0.510
7 Ni 0.347 0.008 0.992
8 Ni 0.490 0.275 0.725
9 Ni 0.500 0.500 0.000
10 Ni 0.510 0.725 0.275
11 Ni 0.653 0.992 0.008
12 Ni 0.725 0.510 0.490
13 Ni 0.992 0.653 0.347

Values from the calculation:
Energy ... -6.04 eV per atom
Energy of formation from the pure elements ... -0.2900 eV/atom
N(E_F) ... 1.060 states/eV/atom

Here is a relaxed structure of Pa3Be2Ni4 from Alexandria. Energies are from PBE-GGA.

Cell: 5.318 5.318 7.808 Å, 112.97 112.97 45.27°
Element x y z (fractional)
1 Pa 0.000 0.000 0.000
2 Pa 0.348 0.348 0.327
3 Pa 0.652 0.652 0.673
4 Be 0.364 0.364 0.697
5 Be 0.636 0.636 0.303
6 Ni 0.074 0.074 0.390
7 Ni 0.285 0.285 0.929
8 Ni 0.715 0.715 0.071
9 Ni 0.926 0.926 0.610

Values from the calculation:
Energy ... -6.89 eV per atom
Energy of formation from the pure elements ... -0.3310 eV/atom
N(E_F) ... 0.776 states/eV/atom

Here is a relaxed structure of PaBeNi6 from Alexandria. Energies are from PBE-GGA.

Cell: 3.614 3.614 7.950 Å, 90.00 90.00 90.00°
Element x y z (fractional)
1 Pa 0.000 0.000 0.000
2 Be 0.000 0.000 0.500
3 Ni 0.000 0.500 0.343
4 Ni 0.000 0.500 0.657
5 Ni 0.500 0.000 0.343
6 Ni 0.500 0.000 0.657
7 Ni 0.500 0.500 0.147
8 Ni 0.500 0.500 0.853

Values from the calculation:
Energy ... -6.13 eV per atom
Energy of formation from the pure elements ... -0.1430 eV/atom
N(E_F) ... 1.036 states/eV/atom

Here is a relaxed structure of PaBe17Ni from Alexandria. Energies are from PBE-GGA.

Cell: 5.703 5.703 5.703 Å, 83.26 83.26 83.26°
Element x y z (fractional)
1 Pa 0.000 0.000 0.000
2 Be 0.148 0.663 0.663
3 Be 0.316 0.316 0.781
4 Be 0.316 0.781 0.316
5 Be 0.366 0.643 0.949
6 Be 0.366 0.949 0.643
7 Be 0.496 0.999 0.999
8 Be 0.555 0.555 0.555
9 Be 0.643 0.366 0.949
10 Be 0.643 0.949 0.366
11 Be 0.663 0.148 0.663
12 Be 0.663 0.663 0.148
13 Be 0.750 0.750 0.750
14 Be 0.781 0.316 0.316
15 Be 0.949 0.366 0.643
16 Be 0.949 0.643 0.366
17 Be 0.999 0.496 0.999
18 Be 0.999 0.999 0.496
19 Ni 0.345 0.345 0.345

Values from the calculation:
Energy ... -4.12 eV per atom
Energy of formation from the pure elements ... 0.0165 eV/atom
N(E_F) ... 0.258 states/eV/atom

Here is a relaxed structure of PaBeNi3 from Alexandria. Energies are from PBE-GGA.

Cell: 4.148 4.148 4.111 Å, 90.00 90.00 101.41°
Element x y z (fractional)
1 Pa 0.000 0.000 0.000
2 Be 0.500 0.500 0.500
3 Ni 0.000 0.500 0.500
4 Ni 0.500 0.000 0.500
5 Ni 0.500 0.500 0.000

Values from the calculation:
Energy above the most stable polymorph in this dataset ... 0.47 eV per formula unit
Energy ... -6.30 eV per atom
Energy of formation from the pure elements ... -0.1844 eV/atom
N(E_F) ... 0.773 states/eV/atom

Here is a relaxed structure of PaBeNi3 from Alexandria. Energies are from PBE-GGA.

Cell: 5.664 5.664 9.812 Å, 90.00 90.00 120.00°
Element x y z (fractional)
1 Pa 0.000 0.000 0.000
2 Pa 0.000 0.000 0.500
3 Pa 0.333 0.667 0.250
4 Pa 0.667 0.333 0.750
5 Be 0.333 0.667 0.642
6 Be 0.333 0.667 0.858
7 Be 0.667 0.333 0.142
8 Be 0.667 0.333 0.358
9 Ni 0.000 0.500 0.000
10 Ni 0.000 0.500 0.500
11 Ni 0.143 0.285 0.750
12 Ni 0.143 0.857 0.750
13 Ni 0.285 0.143 0.250
14 Ni 0.500 0.000 0.000
15 Ni 0.500 0.000 0.500
16 Ni 0.500 0.500 0.000
17 Ni 0.500 0.500 0.500
18 Ni 0.715 0.857 0.750
19 Ni 0.857 0.143 0.250
20 Ni 0.857 0.715 0.250

Values from the calculation:
Energy above the most stable polymorph in this dataset ... 0.00 eV per formula unit
Energy ... -6.39 eV per atom
Energy of formation from the pure elements ... -0.2789 eV/atom
N(E_F) ... 0.799 states/eV/atom